(1)
Below is a relaxed structure of PmZnGa2Rh, with properties calculated at the PBE-GGA level.

```
PmZnGa2Rh
1.0
-2.074 2.074 5.447
2.074 -2.074 5.447
2.074 2.074 -5.447
Pm Zn Ga Rh
1 1 2 1
Cartesian
0.000 0.000 0.000 Pm
0.000 2.074 2.723 Zn
0.000 0.000 4.165 Ga
0.000 0.000 6.728 Ga
2.074 0.000 2.723 Rh
```

Values from the calculation:
- Crystal system: tetragonal
- DFT total energy: -22.32 eV/cell
- Formation energy: -578 meV/atom
- Symmetry: I-4m2 (119)


(2)
Below is a relaxed structure of Dy2Sc2Si2C, with properties calculated at the PBE-GGA level.

```
Dy2Sc2Si2C
1.0
-2.191 2.191 7.494
2.191 -2.191 7.494
2.191 2.191 -7.494
Dy Sc Si C
2 2 2 1
Cartesian
0.000 0.000 2.488 Dy
0.000 0.000 12.501 Dy
2.191 0.000 0.000 Sc
0.000 2.191 0.000 Sc
0.000 0.000 5.516 Si
0.000 0.000 9.473 Si
0.000 0.000 0.000 C
```

Values from the calculation:
- Crystal system: tetragonal
- DFT total energy: -47.24 eV/cell
- Symmetry: I4/mmm (139)


(3)
Below is a relaxed structure of Ac2Sm3Dy6, with properties calculated at the PBE-GGA level.

```
Ac2Sm3Dy6
1.0
3.120 -5.410 0.000
3.120 5.410 0.000
-2.081 0.000 11.829
Ac Sm Dy
2 3 6
Cartesian
3.120 3.605 0.000 Ac
3.120 -3.605 0.000 Ac
-1.040 0.000 5.915 Sm
2.080 1.779 5.915 Sm
2.080 -1.779 5.915 Sm
0.000 1.800 8.776 Dy
1.046 0.000 3.053 Dy
0.000 -1.800 8.776 Dy
4.159 1.800 3.053 Dy
3.114 0.000 8.776 Dy
4.159 -1.800 3.053 Dy
```

Values from the calculation:
- Crystal system: monoclinic
- DFT total energy: -47.95 eV/cell
- Formation energy: 185 meV/atom
- Symmetry: C2/m (12)


(4)
Below is a relaxed structure of NaNpO2, with properties calculated at the PBE-GGA level.

```
NaNpO2
1.0
2.957 0.000 0.000
0.000 2.957 0.000
0.000 0.000 6.156
Na Np O
1 1 2
Cartesian
0.000 0.000 0.000 Na
0.000 0.000 3.078 Np
1.478 1.478 1.724 O
1.478 1.478 4.432 O
```

Values from the calculation:
- Crystal system: tetragonal
- DFT total energy: -31.72 eV/cell
- Symmetry: P4/mmm (123)


(5)
Below is a relaxed structure of Zr5Mo3, with properties calculated at the PBE-GGA level.

```
Zr5Mo3
1.0
8.024 0.000 0.000
-4.012 6.949 0.000
0.000 0.000 5.892
Zr Mo
10 6
Cartesian
-0.997 1.727 1.473 Zr
-3.015 5.222 4.419 Zr
1.995 0.000 1.473 Zr
0.997 1.727 4.419 Zr
0.000 4.633 0.000 Zr
0.000 4.633 2.946 Zr
4.012 2.316 0.000 Zr
4.012 2.316 2.946 Zr
6.029 0.000 4.419 Zr
3.015 5.222 1.473 Zr
-1.584 2.743 4.419 Mo
-2.428 4.206 1.473 Mo
3.167 0.000 4.419 Mo
1.584 2.743 1.473 Mo
4.857 0.000 1.473 Mo
2.428 4.206 4.419 Mo
```

Values from the calculation:
- Crystal system: hexagonal
- DFT total energy: -148.78 eV/cell
- Formation energy: 105 meV/atom
- Symmetry: P6_3/mcm (193)


(6)
Below is a relaxed structure of BC2, with properties calculated at the PBE-GGA level.

```
BC2
1.0
2.593 0.000 0.000
-1.296 2.246 0.000
0.000 0.000 13.214
B C
4 8
Cartesian
0.000 0.000 0.858 B
0.000 0.000 12.355 B
0.000 1.497 9.520 B
1.296 0.749 3.694 B
0.000 0.000 5.803 C
0.000 0.000 7.411 C
0.000 1.497 1.607 C
0.000 1.497 3.019 C
0.000 1.497 7.883 C
1.296 0.749 5.331 C
1.296 0.749 10.195 C
1.296 0.749 11.607 C
```

Values from the calculation:
- Crystal system: trigonal
- DFT total energy: -96.08 eV/cell
- Formation energy: 369 meV/atom
- Symmetry: P-3m1 (164)


(7)
Below is a relaxed structure of LaAl3H, with properties calculated at the PBE-GGA level.

```
LaAl3H
1.0
5.975 0.000 0.000
0.000 5.975 0.000
0.000 0.000 5.975
La Al H
1 3 1
Cartesian
0.000 0.000 0.000 La
0.000 0.000 2.987 Al
0.000 2.987 0.000 Al
2.987 0.000 0.000 Al
2.987 2.987 2.987 H
```

Values from the calculation:
- Crystal system: cubic
- DFT total energy: -11.43 eV/cell
- Symmetry: Pm-3m (221)


(8)
Below is a relaxed structure of LaY, with properties calculated at the PBE-GGA level.

```
LaY
1.0
3.679 0.000 0.000
0.000 17.868 0.000
0.000 0.000 6.268
La Y
6 6
Cartesian
0.920 1.487 0.528 La
0.920 7.447 0.528 La
0.920 13.401 4.673 La
2.759 4.467 1.595 La
2.759 10.421 5.739 La
2.759 16.381 5.739 La
0.920 4.467 4.733 Y
0.920 10.419 2.609 Y
0.920 16.383 2.609 Y
2.759 1.485 3.659 Y
2.759 7.449 3.659 Y
2.759 13.401 1.535 Y
```

Values from the calculation:
- Crystal system: orthorhombic
- DFT total energy: -68.30 eV/cell
- Formation energy: 4 meV/atom
- Symmetry: Pmmn (59)


(9)
Below is a relaxed structure of BaMg, with properties calculated at the PBE-GGA level.

```
BaMg
1.0
0.000 3.699 3.699
3.699 0.000 3.699
3.699 3.699 0.000
Ba Mg
1 1
Cartesian
0.000 0.000 0.000 Ba
3.699 3.699 3.699 Mg
```

Values from the calculation:
- Crystal system: cubic
- DFT total energy: -3.06 eV/cell
- Formation energy: 227 meV/atom
- Symmetry: Fm-3m (225)


(10)
Below is a relaxed structure of PuMgAu2, with properties calculated at the PBE-GGA level.

```
PuMgAu2
1.0
2.041 1.178 6.817
-2.041 1.178 6.817
0.000 -2.356 6.817
Pu Mg Au
1 1 2
Cartesian
0.000 0.000 0.000 Pu
0.000 0.000 16.929 Mg
0.000 0.000 8.710 Au
0.000 0.000 11.666 Au
```

Values from the calculation:
- Crystal system: trigonal
- DFT total energy: -23.80 eV/cell
- Formation energy: -331 meV/atom
- Symmetry: R3m (160)


(11)
Below is a relaxed structure of Cr2FeCo, with properties calculated at the PBE-GGA level.

```
Cr2FeCo
1.0
1.244 0.718 8.210
-1.244 0.718 8.210
0.000 -1.436 8.210
Cr Fe Co
2 1 1
Cartesian
0.000 0.000 6.143 Cr
0.000 0.000 18.487 Cr
0.000 0.000 12.315 Fe
0.000 0.000 0.000 Co
```

Values from the calculation:
- Crystal system: trigonal
- DFT total energy: -34.14 eV/cell
- Formation energy: 169 meV/atom
- Symmetry: R-3m (166)


(12)
Below is a relaxed structure of La3CSe, with properties calculated at the PBE-GGA level.

```
La3CSe
1.0
5.119 0.000 0.000
0.000 5.119 0.000
0.000 0.000 5.119
La C Se
3 1 1
Cartesian
0.000 0.000 2.559 La
0.000 2.559 0.000 La
2.559 0.000 0.000 La
0.000 0.000 0.000 C
2.559 2.559 2.559 Se
```

Values from the calculation:
- Crystal system: cubic
- DFT total energy: -30.00 eV/cell
- Symmetry: Pm-3m (221)


(13)
Below is a relaxed structure of NpAsO5, with properties calculated at the PBE-GGA level.

```
NpAsO5
1.0
4.087 -4.165 0.000
4.087 4.165 0.000
-3.907 0.000 7.048
Np As O
2 2 10
Cartesian
0.000 0.000 0.000 Np
-1.953 0.000 3.524 Np
1.156 1.079 5.286 As
3.110 -1.079 1.762 As
3.110 3.730 1.762 O
0.437 2.073 6.506 O
1.876 2.073 4.066 O
-0.032 0.075 4.571 O
1.921 -0.075 1.047 O
2.345 0.075 6.001 O
4.299 -0.075 2.477 O
2.391 -2.073 2.982 O
3.829 -2.073 0.542 O
1.156 -3.730 5.286 O
```

Values from the calculation:
- Crystal system: monoclinic
- DFT total energy: -113.45 eV/cell
- Symmetry: C2/c (15)


(14)
Below is a relaxed structure of ZrHg2Ir, with properties calculated at the PBE-GGA level.

```
ZrHg2Ir
1.0
3.069 0.000 0.000
0.000 4.346 0.000
0.000 0.000 5.799
Zr Hg Ir
1 2 1
Cartesian
0.000 0.000 0.000 Zr
1.534 2.173 1.500 Hg
1.534 2.173 4.299 Hg
0.000 0.000 2.899 Ir
```

Values from the calculation:
- Crystal system: orthorhombic
- DFT total energy: -17.62 eV/cell
- Formation energy: 98 meV/atom
- Symmetry: Pmmm (47)


(15)
Below is a relaxed structure of AlCrRh, with properties calculated at the PBE-GGA level.

```
AlCrRh
1.0
-1.398 1.398 5.078
1.398 -1.398 5.078
1.398 1.398 -5.078
Al Cr Rh
1 1 1
Cartesian
0.000 0.000 0.000 Al
0.000 0.000 6.791 Cr
0.000 0.000 3.380 Rh
```

Values from the calculation:
- Crystal system: tetragonal
- DFT total energy: -21.82 eV/cell
- Formation energy: -368 meV/atom
- Symmetry: I4mm (107)


(16)
Below is a relaxed structure of HoInRh2, with properties calculated at the PBE-GGA level.

```
HoInRh2
1.0
3.380 0.000 0.000
0.000 3.380 0.000
0.000 0.000 6.415
Ho In Rh
1 1 2
Cartesian
0.000 0.000 0.000 Ho
0.000 0.000 3.207 In
1.690 1.690 1.681 Rh
1.690 1.690 4.734 Rh
```

Values from the calculation:
- Crystal system: tetragonal
- DFT total energy: -24.81 eV/cell
- Formation energy: -697 meV/atom
- Symmetry: P4/mmm (123)


(17)
Below is a relaxed structure of TiGa2Pt, with properties calculated at the PBE-GGA level.

```
TiGa2Pt
1.0
2.971 0.000 0.000
0.000 2.971 0.000
0.000 0.000 7.040
Ti Ga Pt
1 2 1
Cartesian
0.000 0.000 0.000 Ti
1.486 1.486 1.830 Ga
1.486 1.486 5.210 Ga
0.000 0.000 3.520 Pt
```

Values from the calculation:
- Crystal system: tetragonal
- DFT total energy: -22.07 eV/cell
- Formation energy: -519 meV/atom
- Symmetry: P4/mmm (123)


(18)
Below is a relaxed structure of Nd2SnPb, with properties calculated at the PBE-GGA level.

```
Nd2SnPb
1.0
6.382 0.000 0.000
0.000 4.470 0.000
-2.948 0.000 8.702
Nd Sn Pb
4 2 2
Cartesian
-0.026 1.117 3.746 Nd
1.679 3.352 0.558 Nd
1.755 1.117 8.144 Nd
3.460 3.352 4.956 Nd
-1.622 1.117 6.925 Sn
5.056 3.352 1.777 Sn
0.434 3.352 6.120 Pb
3.000 1.117 2.583 Pb
```

Values from the calculation:
- Crystal system: monoclinic
- DFT total energy: -39.88 eV/cell
- Formation energy: -673 meV/atom
- Symmetry: P2_1/m (11)


(19)
Below is a relaxed structure of KPrMgTe3, with properties calculated at the PBE-GGA level.

```
KPrMgTe3
1.0
9.803 0.000 0.000
0.000 4.615 0.000
-2.995 0.000 10.357
K Pr Mg Te
2 2 2 6
Cartesian
1.314 1.154 2.357 K
5.494 3.461 8.000 K
0.633 3.461 8.931 Pr
6.175 1.154 1.425 Pr
-0.995 1.154 6.277 Mg
7.803 3.461 4.080 Mg
-1.618 1.154 8.972 Te
0.480 3.461 5.524 Te
3.983 3.461 1.715 Te
2.825 1.154 8.642 Te
6.328 1.154 4.833 Te
8.426 3.461 1.385 Te
```

Values from the calculation:
- Crystal system: monoclinic
- DFT total energy: -48.34 eV/cell
- Symmetry: P2_1/m (11)


(20)
Below is a relaxed structure of Li2MgIn4, with properties calculated at the PBE-GGA level.

```
Li2MgIn4
1.0
-2.713 2.713 6.102
2.713 -2.713 6.102
2.713 2.713 -6.102
Li Mg In
2 1 4
Cartesian
0.000 0.000 1.552 Li
0.000 0.000 10.651 Li
0.000 0.000 6.102 Mg
2.713 0.000 0.000 In
2.713 0.000 3.051 In
0.000 2.713 0.000 In
0.000 2.713 3.051 In
```

Values from the calculation:
- Crystal system: tetragonal
- DFT total energy: -16.05 eV/cell
- Formation energy: 47 meV/atom
- Symmetry: I4/mmm (139)